(1)
Compound: CuAg3P
Source: Alexandria via LeMat-Bulk
Functional: meta-GGA SCAN
Structure: single point on PBEsol structure

The space group is Pm-3m (No. 221) and the conventional cell measures 4.6080, 4.6080 and 4.6080 Å, with angles of 90.00, 90.00 and 90.00 degrees. The distinct sites, in fractional coordinates, are Cu at (0.0000, 0.0000, 0.0000), Ag at (0.0000, 0.5000, 0.5000) and P at (0.5000, 0.5000, 0.5000).

The calculated formation energy is 0.56 eV/atom. The density of states at the Fermi level comes out at 1.3 states/eV per cell. The value obtained for the volume is 19.57 A^3/atom.

(2)
Compound: Ba2LiCu
Source: Alexandria via LeMat-Bulk
Functional: meta-GGA SCAN
Structure: single point on PBEsol structure

The space group is Amm2 (No. 38) and the conventional cell measures 4.6819, 4.6692 and 12.6355 Å, with angles of 90.00, 90.00 and 90.00 degrees. The distinct sites, in fractional coordinates, are Ba at (0.0000, 0.0000, 0.0000), Ba at (0.5000, 0.0000, 0.2820), Li at (0.5000, 0.0000, 0.5910) and Cu at (0.0000, 0.0000, 0.6961).

The calculated formation energy is 0.07 eV/atom. The density of states at the Fermi level comes out at 6.4 states/eV per cell. The value obtained for the volume is 34.53 A^3/atom.

(3)
Compound: Zn2TeP
Source: Alexandria via LeMat-Bulk
Functional: meta-GGA SCAN
Structure: single point on PBEsol structure

The space group is Pmm2 (No. 25) and the conventional cell measures 3.3581, 4.1490 and 6.4564 Å, with angles of 90.00, 90.00 and 90.00 degrees. The distinct sites, in fractional coordinates, are Zn at (0.0000, 0.0000, 0.0000), Zn at (0.5000, 0.5000, 0.4126), Te at (0.0000, 0.5000, 0.7505) and P at (0.5000, 0.0000, 0.2532).

The calculation puts the distance to the lowest polymorph of the same formula at 0.1 kJ/mol of atoms. The uncorrected formation energy comes out at -19.38 kJ per mole of atoms. The density of states at the Fermi level comes out at 0.4 states/eV per cell. The value obtained for the volume is 22.49 A^3/atom.

(4)
Compound: ZrMnRu2Br
Source: Alexandria via LeMat-Bulk
Functional: meta-GGA SCAN
Structure: single point on PBEsol structure

The space group is P4/mmm (No. 123) and the conventional cell measures 4.7017, 4.7017 and 5.0808 Å, with angles of 90.00, 90.00 and 90.00 degrees. The distinct sites, in fractional coordinates, are Zr at (0.0000, 0.0000, 0.0000), Mn at (0.5000, 0.5000, 0.5000), Ru at (0.0000, 0.5000, 0.0000) and Br at (0.0000, 0.0000, 0.5000).

The uncorrected formation energy comes out at 105.45 kJ per mole of atoms. The density of states at the Fermi level comes out at 3.0 states/eV per cell. The value obtained for the volume is 22.46 A^3/atom.

(5)
Compound: BaMnPt2
Source: Alexandria via LeMat-Bulk
Functional: meta-GGA SCAN
Structure: single point on PBEsol structure

The space group is P4/mmm (No. 123) and the conventional cell measures 3.2790, 3.2790 and 7.3732 Å, with angles of 90.00, 90.00 and 90.00 degrees. The distinct sites, in fractional coordinates, are Ba at (0.0000, 0.0000, 0.0000), Mn at (0.0000, 0.0000, 0.5000) and Pt at (0.5000, 0.5000, 0.3143).

The calculated formation energy is -0.52 eV/atom. The density of states at the Fermi level comes out at 1.8 states/eV per cell. The value obtained for the volume is 19.82 A^3/atom.

(6)
Compound: ScNb2TcMo
Source: Alexandria via LeMat-Bulk
Functional: meta-GGA SCAN
Structure: single point on PBEsol structure

The space group is P4/mmm (No. 123) and the conventional cell measures 4.7624, 4.7624 and 4.6857 Å, with angles of 90.00, 90.00 and 90.00 degrees. The distinct sites, in fractional coordinates, are Sc at (0.0000, 0.0000, 0.0000), Nb at (0.0000, 0.5000, 0.5000), Tc at (0.5000, 0.5000, 0.5000) and Mo at (0.5000, 0.5000, 0.0000).

The calculated formation energy is 0.88 eV/atom. The density of states at the Fermi level comes out at 6.3 states/eV per cell. The value obtained for the volume is 21.25 A^3/atom.

(7)
Compound: LaHgN2
Source: Alexandria via LeMat-Bulk
Functional: meta-GGA SCAN
Structure: single point on PBEsol structure

The space group is R-3m (No. 166, hexagonal axes) and the conventional cell measures 3.7088, 3.7088 and 18.9025 Å, with angles of 90.00, 90.00 and 120.00 degrees. The distinct sites, in fractional coordinates, are La at (0.0000, 0.0000, 0.0000), Hg at (0.0000, 0.0000, 0.5000) and N at (0.0000, 0.0000, 0.1132).

The uncorrected formation energy comes out at 99.44 kJ per mole of atoms. The density of states at the Fermi level comes out at 6.6 states/eV per cell. The value obtained for the volume is 18.76 A^3/atom.

(8)
Compound: RbMnBiTe2
Source: Alexandria via LeMat-Bulk
Functional: meta-GGA SCAN
Structure: single point on PBEsol structure

The space group is P4/mmm (No. 123) and the conventional cell measures 5.9387, 5.9387 and 6.4064 Å, with angles of 90.00, 90.00 and 90.00 degrees. The distinct sites, in fractional coordinates, are Rb at (0.0000, 0.0000, 0.0000), Mn at (0.5000, 0.5000, 0.0000), Bi at (0.0000, 0.0000, 0.5000) and Te at (0.0000, 0.5000, 0.5000).

The uncorrected formation energy comes out at 43.66 kJ per mole of atoms. The density of states at the Fermi level comes out at 3.8 states/eV per cell. The value obtained for the volume is 45.19 A^3/atom.

(9)
Compound: Ba9In4H
Source: Alexandria via LeMat-Bulk
Functional: meta-GGA SCAN
Structure: single point on PBEsol structure

The space group is I4/m (No. 87) and the conventional cell measures 13.7426, 13.7426 and 5.8467 Å, with angles of 90.00, 90.00 and 90.00 degrees. The distinct sites, in fractional coordinates, are Ba at (0.0000, 0.0000, 0.0000), Ba at (0.1068, 0.8168, 0.5000), Ba at (0.1152, 0.6272, 0.0000), In at (0.1004, 0.2373, 0.0000) and H at (0.0000, 0.0000, 0.5000).

The uncorrected energy is -35.647 eV per atom. The density of states at the Fermi level comes out at 32.4 states/eV per cell. The value obtained for the volume is 39.44 A^3/atom.

(10)
Compound: CaLaS2Cl
Source: Alexandria via LeMat-Bulk
Functional: meta-GGA SCAN
Structure: single point on PBEsol structure

The space group is P4/mmm (No. 123) and the conventional cell measures 5.4685, 5.4685 and 5.2969 Å, with angles of 90.00, 90.00 and 90.00 degrees. The distinct sites, in fractional coordinates, are Ca at (0.0000, 0.0000, 0.0000), La at (0.5000, 0.5000, 0.5000), S at (0.0000, 0.5000, 0.5000) and Cl at (0.5000, 0.5000, 0.0000).

The uncorrected formation energy comes out at -174.43 kJ per mole of atoms. The value obtained for the volume is 31.68 A^3/atom.

(11)
Compound: Li2LaMg
Source: Alexandria via LeMat-Bulk
Functional: meta-GGA SCAN
Structure: single point on PBEsol structure

The space group is P4mm (No. 99) and the conventional cell measures 3.4486, 3.4486 and 8.1070 Å, with angles of 90.00, 90.00 and 90.00 degrees. The distinct sites, in fractional coordinates, are Li at (0.0000, 0.0000, 0.0000), Li at (0.5000, 0.5000, 0.1922), La at (0.5000, 0.5000, 0.7003) and Mg at (0.0000, 0.0000, 0.4038).

The calculated formation energy is 0.00 eV/atom. The density of states at the Fermi level comes out at 2.8 states/eV per cell. The value obtained for the volume is 24.10 A^3/atom.

(12)
Compound: KHgOs2
Source: Alexandria via LeMat-Bulk
Functional: meta-GGA SCAN
Structure: single point on PBEsol structure

The space group is R-3m (No. 166, hexagonal axes) and the conventional cell measures 2.7967, 2.7967 and 31.4749 Å, with angles of 90.00, 90.00 and 120.00 degrees. The distinct sites, in fractional coordinates, are K at (0.0000, 0.0000, 0.0000), Hg at (0.0000, 0.0000, 0.5000) and Os at (0.0000, 0.0000, 0.2424).

The calculated formation energy is 1.21 eV/atom. The density of states at the Fermi level comes out at 9.0 states/eV per cell. The value obtained for the volume is 17.77 A^3/atom.

(13)
Compound: MgCrB3
Source: Alexandria via LeMat-Bulk
Functional: meta-GGA SCAN
Structure: single point on PBEsol structure

The space group is Pm-3m (No. 221) and the conventional cell measures 3.8426, 3.8426 and 3.8426 Å, with angles of 90.00, 90.00 and 90.00 degrees. The distinct sites, in fractional coordinates, are Mg at (0.0000, 0.0000, 0.0000), Cr at (0.5000, 0.5000, 0.5000) and B at (0.0000, 0.5000, 0.5000).

The calculated formation energy is 0.65 eV/atom. The density of states at the Fermi level comes out at 1.6 states/eV per cell. The value obtained for the volume is 11.35 A^3/atom.

(14)
Compound: SiTe2Cl
Source: Alexandria via LeMat-Bulk
Functional: meta-GGA SCAN
Structure: single point on PBEsol structure

The space group is Cmm2 (No. 35) and the conventional cell measures 3.6988, 4.9230 and 11.1076 Å, with angles of 90.00, 90.00 and 90.00 degrees. The distinct sites, in fractional coordinates, are Si at (0.0000, 0.0000, 0.0000), Te at (0.0000, 0.0000, 0.4683), Te at (0.0000, 0.5000, 0.7814) and Cl at (0.0000, 0.5000, 0.1507).

The calculation puts the distance to the lowest polymorph of the same formula at 17.5 kJ/mol of atoms. The uncorrected formation energy comes out at 20.59 kJ per mole of atoms. The density of states at the Fermi level comes out at 3.0 states/eV per cell. The value obtained for the volume is 25.28 A^3/atom.

(15)
Compound: NaCu3O2
Source: Alexandria via LeMat-Bulk
Functional: meta-GGA SCAN
Structure: single point on PBEsol structure

The space group is Pbca (No. 61) and the conventional cell measures 7.0444, 12.7288 and 7.6031 Å, with angles of 90.00, 90.00 and 90.00 degrees. The distinct sites, in fractional coordinates, are Na at (0.0643, 0.0808, 0.1461), Cu at (0.1146, 0.7444, 0.5840), Cu at (0.1355, 0.1036, 0.5051), Cu at (0.1557, 0.6122, 0.8336), O at (0.1140, 0.6124, 0.0771) and O at (0.1237, 0.5996, 0.5936).

The uncorrected formation energy comes out at -71.90 kJ per mole of atoms. The density of states at the Fermi level comes out at 0.0 states/eV per cell. The value obtained for the volume is 14.20 A^3/atom.

(16)
Compound: LiHg5
Source: Alexandria via LeMat-Bulk
Functional: meta-GGA SCAN
Structure: single point on PBEsol structure

The space group is Cmmm (No. 65) and the conventional cell measures 4.4488, 13.4430 and 4.3380 Å, with angles of 90.00, 90.00 and 90.00 degrees. The distinct sites, in fractional coordinates, are Li at (0.0000, 0.0000, 0.0000), Hg at (0.0000, 0.1600, 0.5000), Hg at (0.0000, 0.3371, 0.0000) and Hg at (0.0000, 0.5000, 0.5000).

The calculation puts the distance to the lowest polymorph of the same formula at 1.0 kJ/mol of atoms. The calculated formation energy is -0.14 eV/atom. The density of states at the Fermi level comes out at 3.0 states/eV per cell. The value obtained for the volume is 21.62 A^3/atom.

(17)
Compound: ReRuAu
Source: Alexandria via LeMat-Bulk
Functional: meta-GGA SCAN
Structure: single point on PBEsol structure

The space group is F-43m (No. 216) and the conventional cell measures 5.9407, 5.9407 and 5.9407 Å, with angles of 90.00, 90.00 and 90.00 degrees. The distinct sites, in fractional coordinates, are Re at (0.0000, 0.0000, 0.0000), Ru at (0.0000, 0.0000, 0.5000) and Au at (0.2500, 0.2500, 0.7500).

The calculation puts the distance to the lowest polymorph of the same formula at 112.6 kJ/mol of atoms. The calculated formation energy is 1.36 eV/atom. The density of states at the Fermi level comes out at 13.5 states/eV per cell. The value obtained for the volume is 17.47 A^3/atom.

(18)
Compound: Al2RhAu
Source: Alexandria via LeMat-Bulk
Functional: meta-GGA SCAN
Structure: single point on PBEsol structure

The space group is P4/mmm (No. 123) and the conventional cell measures 2.9772, 2.9772 and 6.5370 Å, with angles of 90.00, 90.00 and 90.00 degrees. The distinct sites, in fractional coordinates, are Al at (0.0000, 0.0000, 0.2278), Rh at (0.5000, 0.5000, 0.0000) and Au at (0.5000, 0.5000, 0.5000).

The calculation puts the distance to the lowest polymorph of the same formula at 0.0 kJ/mol of atoms. The calculated formation energy is -0.89 eV/atom. The density of states at the Fermi level comes out at 1.3 states/eV per cell. The value obtained for the volume is 14.49 A^3/atom.

(19)
Compound: TcIrRh2
Source: Alexandria via LeMat-Bulk
Functional: meta-GGA SCAN
Structure: single point on PBEsol structure

The space group is Pmm2 (No. 25) and the conventional cell measures 2.6769, 3.8013 and 5.3719 Å, with angles of 90.00, 90.00 and 90.00 degrees. The distinct sites, in fractional coordinates, are Tc at (0.0000, 0.0000, 0.0000), Ir at (0.5000, 0.5000, 0.2452), Rh at (0.0000, 0.0000, 0.5001) and Rh at (0.5000, 0.5000, 0.7508).

The calculation puts the distance to the lowest polymorph of the same formula at 0.0 kJ/mol of atoms. The calculated formation energy is -0.14 eV/atom. The density of states at the Fermi level comes out at 3.4 states/eV per cell. The value obtained for the volume is 13.67 A^3/atom.

(20)
Compound: RbTmW2O8
Source: Alexandria via LeMat-Bulk
Functional: meta-GGA SCAN
Structure: single point on PBEsol structure

The space group is C2/c (No. 15) and the conventional cell measures 10.6466, 10.3664 and 7.4410 Å, with angles of 90.00, 130.52 and 90.00 degrees. The distinct sites, in fractional coordinates, are Rb at (0.0000, 0.2004, 0.2500), Tm at (0.0000, 0.2274, 0.7500), W at (0.1968, 0.4972, 0.7283), O at (0.0202, 0.3900, 0.9658), O at (0.1286, 0.0867, 0.6943), O at (0.1899, 0.4301, 0.4436) and O at (0.2170, 0.1579, 0.1207).

The uncorrected formation energy comes out at -264.98 kJ per mole of atoms. The density of states at the Fermi level comes out at 0.0 states/eV per cell. The value obtained for the volume is 13.01 A^3/atom.